Density functional theory data (PBE) for crystalline Dy5Zn4Pd at its relaxed geometry.

Cell lengths 3.5674, 3.5674, 17.5383 Å; angles 90.00, 90.00, 90.00 degrees
Sites, in units of the cell vectors:
Dy: 0.5000 0.5000 0.0965
Zn: 0.0000 0.0000 0.8008
Dy: 0.5000 0.5000 0.5000
Zn: 0.0000 0.0000 0.3979
Pd: 0.0000 0.0000 0.0000
Dy: 0.5000 0.5000 0.2981
Zn: 0.0000 0.0000 0.6021
Zn: 0.0000 0.0000 0.1992
Dy: 0.5000 0.5000 0.7019
Dy: 0.5000 0.5000 0.9035

Computed properties:
**Energy relative to the elements**: -0.4671 eV per atom
**Total DFT energy (no corrections)**: -37.91 eV per cell